Here is a geometry-optimized CsTeCN2 structure from the Alexandria database. Energies are from PBE-GGA.

a b c (Å): 4.188 4.188 8.124
angles (deg): 90.00 90.00 90.00
Fractional positions:
N (0.000, 0.500, 0.000)
N (0.500, 0.000, 0.000)
C (0.500, 0.500, 0.500)
Cs (0.000, 0.000, 0.000)
Te (0.000, 0.000, 0.500)

Total moment, μB/f.u.: 1.56
Space group: P4/mmm, No. 123
Formation energy without anion corrections, meV/atom: 3462
E_tot, eV per atom: -2.51